Al2GeTe4 (GGA-PBE, optimized geometry); final energy = -26.06 eV/cell; calculated density = 4.53 g cm⁻³; ΔE to the lowest computed polymorph = 0.000 eV per atom; formation energy from raw total energies = -0.199 eV/atom
1.0
-3.237 3.511 -4.810
-3.529 -2.978 4.961
3.839 4.599 3.170
Te Al Ge
4 2 1
direct
0.822 0.328 0.150
0.178 0.672 0.850
0.672 0.822 0.493
0.328 0.178 0.507
0.750 0.250 0.500
0.250 0.750 0.500
0.500 0.500 0.000

=====

Al2Ge2Te (GGA-PBE, optimized geometry); final energy = -19.26 eV/cell; calculated density = 5.24 g cm⁻³; ΔE to the lowest computed polymorph = 0.000 eV per atom; formation energy from raw total energies = 0.120 eV/atom
1.0
3.831 0.000 0.000
0.000 3.831 0.000
1.916 1.916 7.057
Ge Te Al
2 1 2
direct
0.250 0.750 0.500
0.750 0.250 0.500
0.000 0.000 0.000
0.604 0.604 0.792
0.396 0.396 0.208

=====

Al2GeTe (GGA-PBE, optimized geometry); final energy = -14.19 eV/cell; calculated density = 5.11 g cm⁻³; ΔE to the lowest computed polymorph = 0.433 eV per atom; formation energy from raw total energies = 0.263 eV/atom
1.0
4.433 -1.515 1.399
1.827 1.431 4.303
0.444 -3.214 3.657
Al Ge Te
2 1 1
direct
0.750 0.750 0.750
0.250 0.250 0.250
0.000 0.000 0.000
0.500 0.500 0.500

=====

Al2Ge2Te (GGA-PBE, optimized geometry); final energy = -19.13 eV/cell; calculated density = 5.08 g cm⁻³; ΔE to the lowest computed polymorph = 0.028 eV per atom; formation energy from raw total energies = 0.147 eV/atom
1.0
-2.003 -1.776 3.771
-1.750 -3.438 -2.549
2.212 -5.342 1.494
Al Te Ge
2 1 2
direct
0.750 0.250 0.500
0.250 0.750 0.500
0.000 0.000 0.000
0.623 0.623 0.754
0.377 0.377 0.246

=====

AlGeTe3 (GGA-PBE, optimized geometry); final energy = -15.97 eV/cell; calculated density = 5.34 g cm⁻³; formation energy from raw total energies = 0.363 eV/atom
1.0
-1.841 -0.740 4.929
2.311 -4.783 0.145
4.417 2.194 1.979
Al Te Ge
1 3 1
direct
0.000 0.000 0.000
0.500 0.000 0.000
0.000 0.000 0.500
0.000 0.500 0.000
0.500 0.500 0.500

=====

Al2GeTe (GGA-PBE, optimized geometry); final energy = -14.62 eV/cell; calculated density = 4.03 g cm⁻³; ΔE to the lowest computed polymorph = 0.325 eV per atom; formation energy from raw total energies = 0.155 eV/atom
1.0
-2.094 -1.993 -2.769
-0.650 -3.927 0.424
-7.292 -0.511 2.989
Al Ge Te
2 1 1
direct
0.885 0.885 0.346
0.115 0.115 0.654
0.500 0.500 0.500
0.000 0.000 0.000

=====

Al2Ge2Te (GGA-PBE, optimized geometry); final energy = -37.92 eV/cell; calculated density = 5.42 g cm⁻³; ΔE to the lowest computed polymorph = 0.061 eV per atom; formation energy from raw total energies = 0.180 eV/atom
1.0
7.900 0.000 0.000
0.000 7.900 0.000
0.000 0.000 3.210
Te Al Ge
2 4 4
direct
0.000 0.000 0.000
0.500 0.500 0.000
0.151 0.349 0.000
0.849 0.651 0.000
0.349 0.849 0.000
0.651 0.151 0.000
0.357 0.143 0.500
0.857 0.357 0.500
0.643 0.857 0.500
0.143 0.643 0.500

=====

AlGeTe2 (GGA-PBE, optimized geometry); final energy = -28.92 eV/cell; calculated density = 4.80 g cm⁻³; ΔE to the lowest computed polymorph = 0.000 eV per atom; formation energy from raw total energies = 0.045 eV/atom
1.0
-2.398 6.897 0.178
-6.799 -2.330 -1.304
-5.339 1.909 3.966
Te Al Ge
4 2 2
direct
0.147 0.625 0.250
0.603 0.125 0.250
0.375 0.397 0.750
0.875 0.853 0.750
0.250 0.750 0.500
0.500 0.500 0.000
0.750 0.250 0.500
0.000 0.000 0.000

=====

Al2GeTe4 (GGA-PBE, optimized geometry); final energy = -49.76 eV/cell; calculated density = 5.35 g cm⁻³; ΔE to the lowest computed polymorph = 0.169 eV per atom; formation energy from raw total energies = -0.030 eV/atom
1.0
-3.251 -3.866 -5.550
5.675 -4.910 0.096
-4.654 0.501 7.451
Al Te Ge
4 8 2
direct
0.375 0.625 0.750
0.875 0.625 0.250
0.375 0.125 0.750
0.375 0.625 0.250
0.007 0.940 0.625
0.690 0.869 0.125
0.619 0.685 0.625
0.315 0.993 0.375
0.743 0.310 0.875
0.131 0.565 0.875
0.435 0.257 0.125
0.060 0.381 0.375
0.000 0.000 0.000
0.750 0.250 0.500

=====

Al2GeTe2 (GGA-PBE, optimized geometry); final energy = -17.45 eV/cell; calculated density = 5.21 g cm⁻³; ΔE to the lowest computed polymorph = 0.020 eV per atom; formation energy from raw total energies = 0.186 eV/atom
1.0
-1.222 0.969 -3.554
2.862 -2.108 -1.559
-4.005 -7.042 -2.663
Te Al Ge
2 2 1
direct
0.395 0.395 0.209
0.605 0.605 0.791
0.750 0.250 0.500
0.250 0.750 0.500
0.000 0.000 0.000

=====

AlGeTe2 (GGA-PBE, optimized geometry); final energy = -13.29 eV/cell; calculated density = 5.87 g cm⁻³; ΔE to the lowest computed polymorph = 0.292 eV per atom; formation energy from raw total energies = 0.337 eV/atom
1.0
1.837 0.000 11.437
-0.919 1.591 11.437
-0.919 -1.591 11.437
Al Te Ge
1 2 1
direct
0.000 0.000 0.000
0.917 0.917 0.917
0.083 0.083 0.083
0.500 0.500 0.500

=====

Al2GeTe4 (GGA-PBE, optimized geometry); final energy = -23.49 eV/cell; calculated density = 4.93 g cm⁻³; ΔE to the lowest computed polymorph = 0.367 eV per atom; formation energy from raw total energies = 0.168 eV/atom
1.0
-3.163 -0.108 -4.581
-4.305 -1.837 3.016
-5.685 5.559 0.411
Ge Al Te
1 2 4
direct
0.000 0.000 0.000
0.405 0.405 0.189
0.595 0.595 0.811
0.778 0.778 0.443
0.222 0.222 0.557
0.000 0.500 0.000
0.500 0.000 0.000

=====

AlTlGeTe3 (GGA-PBE, optimized geometry); final energy = -43.57 eV/cell; calculated density = 5.60 g cm⁻³; formation energy from raw total energies = -0.272 eV/atom
1.0
-4.164 0.709 1.041
-2.603 -6.901 -5.710
1.692 -4.120 9.571
Te Ge Al Tl
6 2 2 2
direct
0.750 0.467 0.162
0.750 0.202 0.544
0.250 0.533 0.838
0.250 0.798 0.456
0.750 0.907 0.124
0.250 0.093 0.876
0.750 0.338 0.890
0.250 0.662 0.110
0.250 0.083 0.631
0.750 0.917 0.369
0.750 0.777 0.777
0.250 0.223 0.223

=====

AlTl2GeTe4 (GGA-PBE, optimized geometry); final energy = -27.98 eV/cell; calculated density = 6.54 g cm⁻³; formation energy from raw total energies = -0.290 eV/atom
1.0
-2.843 -4.285 -4.729
3.431 -1.394 -5.960
1.291 -6.891 0.308
Al Te Tl Ge
1 4 2 1
direct
0.500 0.000 0.000
0.911 0.000 0.657
0.568 0.000 0.343
0.432 0.657 0.000
0.089 0.343 0.000
0.500 0.500 0.500
0.000 0.500 0.500
0.000 0.000 0.000

=====

Tm8AlGe3Te4 (GGA-PBE, optimized geometry); final energy = -81.97 eV/cell; calculated density = 8.16 g cm⁻³; formation energy from raw total energies = -1.002 eV/atom
1.0
8.363 0.000 0.000
0.000 8.570 0.139
-4.181 -4.178 5.917
Tm Ge Al Te
8 3 1 4
direct
0.755 0.275 0.020
0.245 0.725 0.490
0.736 0.725 0.980
0.262 0.285 0.523
0.264 0.275 0.020
0.755 0.275 0.510
0.245 0.725 0.980
0.738 0.715 0.477
0.500 0.500 0.000
0.500 0.500 0.500
0.000 0.500 0.500
0.000 0.500 0.000
0.000 0.000 0.000
0.500 0.000 0.000
0.500 0.000 0.500
0.000 0.000 0.500

=====

Th4AlGe (GGA-PBE, optimized geometry); E_form = -391.0 meV/atom; final energy = -80.77 eV/cell; calculated density = 10.13 g cm⁻³; ΔE to the lowest computed polymorph = 0.007 eV per atom
1.0
5.981 0.000 0.000
0.000 7.508 0.000
0.000 0.000 7.508
Th Ge Al
8 2 2
direct
0.000 0.843 0.338
0.500 0.662 0.157
0.000 0.338 0.157
0.000 0.157 0.662
0.000 0.662 0.843
0.500 0.157 0.338
0.500 0.843 0.662
0.500 0.338 0.843
0.750 0.000 0.000
0.250 0.000 0.000
0.750 0.500 0.500
0.250 0.500 0.500

=====

ThAlGe (GGA-PBE, optimized geometry); E_form = 250.3 meV/atom; final energy = -15.03 eV/cell; calculated density = 6.94 g cm⁻³
1.0
-2.270 -2.220 0.337
1.384 -1.006 2.696
-3.867 6.641 2.574
Al Th Ge
1 1 1
direct
0.962 0.962 0.924
0.764 0.764 0.528
0.124 0.124 0.248

=====

ThAlGe2 (GGA-PBE, optimized geometry); E_form = -432.6 meV/atom; final energy = -22.13 eV/cell; calculated density = 7.84 g cm⁻³
1.0
-1.873 3.675 -0.571
-0.706 0.334 4.466
3.987 2.106 0.473
Ge Th Al
2 1 1
direct
0.000 0.500 0.000
0.000 0.000 0.500
0.500 0.500 0.500
0.500 0.000 0.000

=====

ThAlGe (GGA-PBE, optimized geometry); E_form = -279.8 meV/atom; final energy = -16.62 eV/cell; calculated density = 8.15 g cm⁻³
1.0
-3.484 0.099 0.568
0.967 -3.961 -4.356
0.155 -3.191 1.505
Al Th Ge
1 1 1
direct
0.080 0.161 0.920
0.383 0.766 0.617
0.686 0.373 0.314

=====

ThAlGe2 (GGA-PBE, optimized geometry); E_form = -437.1 meV/atom; final energy = -44.29 eV/cell; calculated density = 7.77 g cm⁻³
1.0
4.051 0.000 -0.823
-0.167 4.048 -0.823
0.031 0.032 10.530
Ge Th Al
4 2 2
direct
0.500 0.000 0.000
0.335 0.335 0.669
0.000 0.500 0.000
0.665 0.665 0.331
0.889 0.889 0.778
0.111 0.111 0.222
0.250 0.750 0.500
0.750 0.250 0.500